# LiPr5Te6

LiPr5Te6 after structural relaxation (PBE, the Open Quantum Materials Database).

a = 7.7785 Å, b = 7.7785 Å, c = 7.7928 Å
α = 99.64°, β = 99.64°, γ = 120.07°
Element x y z (fractional)
1 Li 0.0000 0.0000 0.0000
2 Pr 0.1712 0.8288 0.5000
3 Pr 0.3356 0.6644 0.0000
4 Pr 0.5000 0.5000 0.5000
5 Pr 0.6644 0.3356 0.0000
6 Pr 0.8288 0.1712 0.5000
7 Te 0.0790 0.3982 0.2402
8 Te 0.2366 0.2366 0.7563
9 Te 0.3982 0.0790 0.2402
10 Te 0.6018 0.9210 0.7598
11 Te 0.7634 0.7634 0.2437
12 Te 0.9210 0.6018 0.7598

The total energy is -5.13 eV per atom. For the density, the calculation gives 6.4 g cm⁻³.


# Pr2TmMg3In2Hg

Pr2TmMg3In2Hg after structural relaxation (PBE, the Open Quantum Materials Database).

a = 4.7025 Å, b = 7.5830 Å, c = 7.5830 Å
α = 118.72°, β = 90.00°, γ = 90.00°
Element x y z (fractional)
1 Pr 0.0000 0.2088 0.7912
2 Pr 0.0000 0.7912 0.2088
3 Tm 0.0000 0.3720 0.3720
4 Mg 0.5000 0.0241 0.0241
5 Mg 0.5000 0.5491 0.7881
6 Mg 0.5000 0.7881 0.5491
7 In 0.5000 0.1300 0.4531
8 In 0.5000 0.4531 0.1300
9 Hg 0.0000 0.7748 0.7748

The total energy is -3.14 eV per atom. For the density, the calculation gives 6.7 g cm⁻³.


# Gd2ErIn3Ni2Au

Gd2ErIn3Ni2Au after structural relaxation (PBE, the Open Quantum Materials Database).

a = 3.9384 Å, b = 7.5506 Å, c = 7.5506 Å
α = 119.98°, β = 90.00°, γ = 90.00°
Element x y z (fractional)
1 Gd 0.0000 0.2040 0.7960
2 Gd 0.0000 0.7960 0.2040
3 Er 0.0000 0.3868 0.3868
4 In 0.5000 0.0688 0.0688
5 In 0.5000 0.5219 0.7934
6 In 0.5000 0.7934 0.5219
7 Ni 0.5000 0.1301 0.4605
8 Ni 0.5000 0.4605 0.1301
9 Au 0.0000 0.7929 0.7929

The total energy is -4.61 eV per atom. For the density, the calculation gives 9.7 g cm⁻³.